1.
Below is a relaxed structure of KHg2Sb2, with properties calculated at the PBEsol level.

Values from the calculation:
* V: 29.2 Å³/atom
* raw formation energy: -0.89 eV per formula unit
* E_tot: -2.45 eV per atom

Unit cell a=4.832 b=4.832 c=12.492 alpha=90.00 beta=90.00 gamma=90.00
Space group I4/mmm (No. 139)
Unique sites:
K: 0.000 0.000 0.000 (multiplicity 2)
Hg: 0.000 0.000 0.391 (multiplicity 4)
Sb: 0.000 0.500 0.250 (multiplicity 4)

2.
Below is a relaxed structure of Cr4NiOs, with properties calculated at the PBEsol level.

Values from the calculation:
* V: 11.6 Å³/atom
* E_form: 0.08 eV per atom
* E_tot: -9.81 eV per atom

Unit cell a=6.526 b=6.526 c=6.526 alpha=90.00 beta=90.00 gamma=90.00
Space group F-43m (No. 216)
Unique sites:
Cr: 0.123 0.123 0.123 (multiplicity 16)
Ni: 0.250 0.250 0.750 (multiplicity 4)
Os: 0.000 0.000 0.500 (multiplicity 4)

3.
Below is a relaxed structure of SrMg2OsPt, with properties calculated at the PBEsol level.

Values from the calculation:
* V: 27.1 Å³/atom
* E_form: 2.31 eV per atom
* E_tot: -2.58 eV per atom

Unit cell a=5.251 b=5.251 c=4.909 alpha=90.00 beta=90.00 gamma=90.00
Space group P4/mmm (No. 123)
Unique sites:
Sr: 0.000 0.000 0.000 (multiplicity 1)
Mg: 0.000 0.500 0.000 (multiplicity 2)
Os: 0.500 0.500 0.500 (multiplicity 1)
Pt: 0.000 0.000 0.500 (multiplicity 1)

4.
Below is a relaxed structure of Ca4FeMo, with properties calculated at the PBEsol level.

Values from the calculation:
* V: 27.4 Å³/atom
* E_form: 1.42 eV per atom
* E_tot: -3.46 eV per atom

Unit cell a=8.700 b=8.700 c=8.700 alpha=90.00 beta=90.00 gamma=90.00
Space group F-43m (No. 216)
Unique sites:
Ca: 0.125 0.125 0.125 (multiplicity 16)
Fe: 0.000 0.000 0.500 (multiplicity 4)
Mo: 0.250 0.250 0.750 (multiplicity 4)

5.
Below is a relaxed structure of ReTcSb2, with properties calculated at the PBEsol level.

Values from the calculation:
* V: 18.2 Å³/atom
* energy above the lowest structure with this stoichiometry: 338 meV per atom
* raw formation energy: 3.19 eV per formula unit
* E_tot: -7.63 eV per atom

Unit cell a=3.232 b=4.227 c=5.326 alpha=90.00 beta=90.00 gamma=90.00
Space group Pmmm (No. 47)
Unique sites:
Re: 0.000 0.000 0.000 (multiplicity 1)
Tc: 0.500 0.000 0.500 (multiplicity 1)
Sb: 0.000 0.500 0.500 (multiplicity 1)
Sb: 0.500 0.500 0.000 (multiplicity 1)

6.
Below is a relaxed structure of AlAgP2, with properties calculated at the PBEsol level.

Values from the calculation:
* V: 16.1 Å³/atom
* E_form: 0.31 eV per atom
* E_tot: -4.43 eV per atom

Unit cell a=2.8238 b=2.8238 c=28.0506 alpha=90.00 beta=90.00 gamma=120.00
Space group R3m (No. 160, hexagonal axes)
Unique sites:
Al: 0.0000 0.0000 0.0000 (multiplicity 3)
Ag: 0.0000 0.0000 0.2561 (multiplicity 3)
P: 0.0000 0.0000 0.5109 (multiplicity 3)
P: 0.0000 0.0000 0.7377 (multiplicity 3)

7.
Below is a relaxed structure of HgSbC3, with properties calculated at the PBEsol level.

Values from the calculation:
* V: 15.6 Å³/atom
* raw formation energy: 16.18 eV per formula unit
* E_tot: -3.57 eV per atom

Unit cell a=4.276 b=4.276 c=4.276 alpha=90.00 beta=90.00 gamma=90.00
Space group Pm-3m (No. 221)
Unique sites:
Hg: 0.000 0.000 0.000 (multiplicity 1)
Sb: 0.500 0.500 0.500 (multiplicity 1)
C: 0.000 0.000 0.500 (multiplicity 3)

8.
Below is a relaxed structure of LaAg2, with properties calculated at the PBEsol level.

Values from the calculation:
* V: 23.2 Å³/atom
* E_form: -0.27 eV per atom
* E_tot: -4.26 eV per atom

Unit cell a=4.7736 b=4.7736 c=3.5329 alpha=90.00 beta=90.00 gamma=120.00
Space group P6/mmm (No. 191)
Unique sites:
La: 0.0000 0.0000 0.0000 (multiplicity 1)
Ag: 0.3333 0.6667 0.5000 (multiplicity 2)

9.
Below is a relaxed structure of La3Ir, with properties calculated at the PBEsol level.

Values from the calculation:
* V: 31.7 Å³/atom
* E_form: -0.20 eV per atom
* E_tot: -6.67 eV per atom

Unit cell a=3.9208 b=3.9208 c=9.5177 alpha=90.00 beta=90.00 gamma=120.00
Space group P-6m2 (No. 187)
Unique sites:
La: 0.0000 0.0000 0.0000 (multiplicity 1)
La: 0.6667 0.3333 0.3163 (multiplicity 2)
Ir: 0.0000 0.0000 0.5000 (multiplicity 1)

10.
Below is a relaxed structure of La2CrCd, with properties calculated at the PBEsol level.

Values from the calculation:
* V: 25.4 Å³/atom
* E_form: 0.26 eV per atom
* E_tot: -5.27 eV per atom

Unit cell a=3.641 b=3.641 c=7.652 alpha=90.00 beta=90.00 gamma=90.00
Space group P4mm (No. 99)
Unique sites:
La: 0.000 0.000 0.000 (multiplicity 1)
La: 0.500 0.500 0.308 (multiplicity 1)
Cr: 0.500 0.500 0.758 (multiplicity 1)
Cd: 0.000 0.000 0.578 (multiplicity 1)

11.
Below is a relaxed structure of Li2MnCr, with properties calculated at the PBEsol level.

Values from the calculation:
* V: 12.2 Å³/atom
* E_form: 0.45 eV per atom
* E_tot: -5.53 eV per atom

Unit cell a=2.277 b=3.893 c=5.493 alpha=90.00 beta=90.00 gamma=90.00
Space group Pmm2 (No. 25)
Unique sites:
Li: 0.000 0.000 0.000 (multiplicity 1)
Li: 0.500 0.500 0.238 (multiplicity 1)
Mn: 0.000 0.000 0.529 (multiplicity 1)
Cr: 0.500 0.500 0.704 (multiplicity 1)

12.
Below is a relaxed structure of CdSb2TeN, with properties calculated at the PBEsol level.

Values from the calculation:
* V: 21.4 Å³/atom
* energy above the lowest structure with this stoichiometry: 0 meV per atom
* raw formation energy: 2.50 eV per formula unit
* E_tot: -3.97 eV per atom

Unit cell a=4.800 b=4.800 c=4.653 alpha=90.00 beta=90.00 gamma=90.00
Space group P4/mmm (No. 123)
Unique sites:
Cd: 0.000 0.000 0.000 (multiplicity 1)
Sb: 0.000 0.500 0.500 (multiplicity 2)
Te: 0.500 0.500 0.000 (multiplicity 1)
N: 0.500 0.500 0.500 (multiplicity 1)